(one)
DFT (SCAN) results for Li3VOF5 at its PBEsol-relaxed geometry. Values from VASP.

ρ in g/cm³: 2.52
Space-group type: Imm2, No. 44
Crystal system: orthorhombic
V in Å³ per cell: 120
Total magnetization in Bohr magnetons per cell: 1.00

Cell and atoms, written as Quantum ESPRESSO input:
```
&SYSTEM
  ibrav = 0, nat = 10, ntyp = 4
/
ATOMIC_SPECIES
F 19.00 F.upf
O 16.00 O.upf
Li 6.94 Li.upf
V 50.94 V.upf
ATOMIC_POSITIONS angstrom
F -0.570 -1.819 3.494
F -3.716 -0.789 2.066
F -0.196 1.803 3.870
F 2.075 0.706 3.669
F -2.727 1.054 3.187
O -0.221 -0.705 1.354
Li -2.970 0.936 1.082
Li -2.109 -0.848 3.257
Li 0.003 2.800 2.054
V -0.857 -2.735 5.254
CELL_PARAMETERS angstrom
-4.579 -2.457 1.421
3.713 -0.309 3.892
-1.088 5.195 -0.920
```

=====

(two)
DFT (SCAN) results for Li3VOF5 at its PBEsol-relaxed geometry. Values from VASP.

ρ in g/cm³: 3.16
Space-group type: Pc, No. 7
Crystal system: monoclinic
V in Å³ per cell: 192
Total magnetization in Bohr magnetons per cell: 2.00

Cell and atoms, written as Quantum ESPRESSO input:
```
&SYSTEM
  ibrav = 0, nat = 20, ntyp = 4
/
ATOMIC_SPECIES
V 50.94 V.upf
Li 6.94 Li.upf
F 19.00 F.upf
O 16.00 O.upf
ATOMIC_POSITIONS angstrom
V 2.628 1.273 3.746
V 0.129 3.911 0.027
Li 2.458 4.130 2.078
Li 4.957 1.054 5.797
Li 2.516 1.333 0.056
Li 0.046 3.851 3.787
Li 0.063 1.489 2.062
Li 2.562 3.696 5.781
F 0.692 4.314 5.635
F 1.023 0.193 3.128
F 4.059 2.477 6.776
F 3.225 4.665 4.174
F 3.522 4.992 6.847
F 3.162 0.871 1.905
F 4.260 3.547 1.713
F 0.726 0.520 0.455
F 1.790 1.638 5.444
F 1.560 2.707 3.057
O 4.042 2.019 4.100
O 1.543 3.166 0.381
CELL_PARAMETERS angstrom
4.969 0.000 -0.012
0.000 5.185 0.000
0.029 0.000 7.449
```

=====

Short version: (one) is the least stable of them.

=====

(one)
DFT (SCAN) results for Zr2TaCl at its PBEsol-relaxed geometry. Values from VASP.

ρ in g/cm³: 8.14
Space-group type: Pmm2, No. 25
Crystal system: orthorhombic
V in Å³ per cell: 81
Total magnetization in Bohr magnetons per cell: 0.00

Cell and atoms, written as Quantum ESPRESSO input:
```
&SYSTEM
  ibrav = 0, nat = 4, ntyp = 3
/
ATOMIC_SPECIES
Ta 180.95 Ta.upf
Zr 91.22 Zr.upf
Cl 35.45 Cl.upf
ATOMIC_POSITIONS angstrom
Ta 0.720 -4.920 2.543
Zr -0.739 -3.284 4.371
Zr 1.117 -3.153 0.191
Cl -0.300 -1.333 1.774
CELL_PARAMETERS angstrom
-1.367 -2.029 -1.756
4.106 -2.041 -0.839
-0.776 -3.448 4.589
```

=====

(two)
DFT (SCAN) results for Zr2TaCl at its PBEsol-relaxed geometry. Values from VASP.

ρ in g/cm³: 8.49
Space-group type: C2/m, No. 12
Crystal system: monoclinic
V in Å³ per cell: 78
Total magnetization in Bohr magnetons per cell: 0.00

Cell and atoms, written as Quantum ESPRESSO input:
```
&SYSTEM
  ibrav = 0, nat = 4, ntyp = 3
/
ATOMIC_SPECIES
Zr 91.22 Zr.upf
Ta 180.95 Ta.upf
Cl 35.45 Cl.upf
ATOMIC_POSITIONS angstrom
Zr -3.163 -0.619 2.024
Zr -0.576 -2.227 1.013
Ta -1.322 -0.047 -0.855
Cl -1.369 1.194 2.053
CELL_PARAMETERS angstrom
-2.645 -0.093 -1.710
1.644 -5.140 0.640
-2.739 2.387 4.107
```

=====

Short version: (two) is the least stable of them.

=====

(one)
DFT (SCAN) results for YTlCd2 at its PBEsol-relaxed geometry. Values from VASP.

ρ in g/cm³: 9.27
Space-group type: F-43m, No. 216
Crystal system: cubic
V in Å³ per cell: 93
Total magnetization in Bohr magnetons per cell: 0.00

Cell and atoms, written as Quantum ESPRESSO input:
```
&SYSTEM
  ibrav = 0, nat = 4, ntyp = 3
/
ATOMIC_SPECIES
Cd 112.41 Cd.upf
Tl 204.38 Tl.upf
Y 88.91 Y.upf
ATOMIC_POSITIONS angstrom
Cd 0.000 0.000 0.000
Cd -4.090 -4.427 -7.133
Tl -2.726 -2.951 -4.755
Y -1.363 -1.476 -2.378
CELL_PARAMETERS angstrom
-3.185 0.516 -3.928
0.820 -2.592 -4.295
-3.088 -3.826 -1.288
```

=====

(two)
DFT (SCAN) results for YTlCd2 at its PBEsol-relaxed geometry. Values from VASP.

ρ in g/cm³: 9.11
Space-group type: P4mm, No. 99
Crystal system: tetragonal
V in Å³ per cell: 94
Total magnetization in Bohr magnetons per cell: 0.46

Cell and atoms, written as Quantum ESPRESSO input:
```
&SYSTEM
  ibrav = 0, nat = 4, ntyp = 3
/
ATOMIC_SPECIES
Y 88.91 Y.upf
Cd 112.41 Cd.upf
Tl 204.38 Tl.upf
ATOMIC_POSITIONS angstrom
Y 1.743 1.796 5.719
Cd 1.743 1.796 1.765
Cd 0.000 0.000 0.159
Tl 0.000 0.000 3.657
CELL_PARAMETERS angstrom
3.539 0.053 0.000
-0.054 3.539 0.000
0.000 0.000 7.534
```

=====

Short version: (two) is the least stable of them.

=====

(one)
DFT (SCAN) results for CaLaCd2 at its PBEsol-relaxed geometry. Values from VASP.

ρ in g/cm³: 6.02
Space-group type: P4/mmm, No. 123
Crystal system: tetragonal
V in Å³ per cell: 111
Total magnetization in Bohr magnetons per cell: 0.00

Cell and atoms, written as Quantum ESPRESSO input:
```
&SYSTEM
  ibrav = 0, nat = 4, ntyp = 3
/
ATOMIC_SPECIES
La 138.91 La.upf
Cd 112.41 Cd.upf
Ca 40.08 Ca.upf
ATOMIC_POSITIONS angstrom
La 1.873 0.000 3.409
Cd 0.000 0.000 0.682
Cd 0.000 2.727 3.407
Ca 1.873 2.727 0.681
CELL_PARAMETERS angstrom
3.747 0.000 0.000
0.000 5.453 0.000
0.000 0.000 5.453
```

=====

(two)
DFT (SCAN) results for CaLaCd2 at its PBEsol-relaxed geometry. Values from VASP.

ρ in g/cm³: 6.04
Space-group type: Imm2, No. 44
Crystal system: orthorhombic
V in Å³ per cell: 111
Total magnetization in Bohr magnetons per cell: 0.00

Cell and atoms, written as Quantum ESPRESSO input:
```
&SYSTEM
  ibrav = 0, nat = 4, ntyp = 3
/
ATOMIC_SPECIES
La 138.91 La.upf
Cd 112.41 Cd.upf
Ca 40.08 Ca.upf
ATOMIC_POSITIONS angstrom
La 0.000 0.000 5.371
Cd 1.810 0.000 2.555
Cd 0.000 0.000 0.310
Ca 0.000 2.717 3.051
CELL_PARAMETERS angstrom
3.620 0.000 0.000
0.000 5.434 0.000
-1.810 -2.717 5.643
```

=====

Short version: (two) is the least stable of them.

=====

(one)
DFT (SCAN) results for Zn2CoOs at its PBEsol-relaxed geometry. Values from VASP.

ρ in g/cm³: 12.39
Space-group type: I4/mmm, No. 139
Crystal system: tetragonal
V in Å³ per cell: 51
Total magnetization in Bohr magnetons per cell: 2.81

Cell and atoms, written as Quantum ESPRESSO input:
```
&SYSTEM
  ibrav = 0, nat = 4, ntyp = 3
/
ATOMIC_SPECIES
Os 190.23 Os.upf
Zn 65.41 Zn.upf
Co 58.93 Co.upf
ATOMIC_POSITIONS angstrom
Os 0.000 0.000 0.000
Zn 0.528 -2.462 -0.816
Zn -0.815 -2.124 1.354
Co -1.908 -1.437 -0.957
CELL_PARAMETERS angstrom
-3.252 -1.099 1.212
-0.565 -1.776 -3.127
3.530 -1.711 2.452
```

=====

(two)
DFT (SCAN) results for Zn2CoOs at its PBEsol-relaxed geometry. Values from VASP.

ρ in g/cm³: 12.71
Space-group type: P4/mmm, No. 123
Crystal system: tetragonal
V in Å³ per cell: 50
Total magnetization in Bohr magnetons per cell: 1.62

Cell and atoms, written as Quantum ESPRESSO input:
```
&SYSTEM
  ibrav = 0, nat = 4, ntyp = 3
/
ATOMIC_SPECIES
Co 58.93 Co.upf
Os 190.23 Os.upf
Zn 65.41 Zn.upf
ATOMIC_POSITIONS angstrom
Co -1.523 -1.229 -0.643
Os -2.091 -1.974 2.130
Zn -0.875 -1.147 4.268
Zn -0.262 -0.344 1.278
CELL_PARAMETERS angstrom
-2.850 0.339 -0.493
-0.195 -2.796 -0.792
-1.137 -1.491 5.546
```

=====

Short version: (two) is the least stable of them.

=====

(one)
DFT (SCAN) results for NaIn2Hg2 at its PBEsol-relaxed geometry. Values from VASP.

ρ in g/cm³: 8.36
Space-group type: I4/mmm, No. 139
Crystal system: tetragonal
V in Å³ per cell: 130
Total magnetization in Bohr magnetons per cell: 0.00

Cell and atoms, written as Quantum ESPRESSO input:
```
&SYSTEM
  ibrav = 0, nat = 5, ntyp = 3
/
ATOMIC_SPECIES
In 114.82 In.upf
Hg 200.59 Hg.upf
Na 22.99 Na.upf
ATOMIC_POSITIONS angstrom
In -1.778 -2.334 2.739
In -3.814 -0.826 0.938
Hg -3.681 -0.358 3.863
Hg -1.912 -2.802 -0.185
Na 0.000 0.000 0.000
CELL_PARAMETERS angstrom
-3.006 -1.203 -2.975
1.068 -4.219 0.627
-3.655 2.262 6.026
```

=====

(two)
DFT (SCAN) results for NaIn2Hg2 at its PBEsol-relaxed geometry. Values from VASP.

ρ in g/cm³: 8.67
Space-group type: P4/mbm, No. 127
Crystal system: tetragonal
V in Å³ per cell: 250
Total magnetization in Bohr magnetons per cell: 0.00

Cell and atoms, written as Quantum ESPRESSO input:
```
&SYSTEM
  ibrav = 0, nat = 10, ntyp = 3
/
ATOMIC_SPECIES
In 114.82 In.upf
Hg 200.59 Hg.upf
Na 22.99 Na.upf
ATOMIC_POSITIONS angstrom
In 1.913 2.779 1.266
In 1.913 1.266 5.311
In 1.913 6.825 2.779
In 1.913 5.311 6.825
Hg 0.000 2.882 6.928
Hg 0.000 1.163 2.882
Hg 0.000 5.208 1.163
Hg 0.000 6.928 5.208
Na 0.000 0.000 0.000
Na 0.000 4.045 4.045
CELL_PARAMETERS angstrom
3.826 0.000 0.000
0.000 8.091 0.000
0.000 0.000 8.091
```

=====

Short version: (two) is the least stable of them.

=====

(one)
DFT (SCAN) results for AgRu2Br at its PBEsol-relaxed geometry. Values from VASP.

ρ in g/cm³: 10.63
Space-group type: P4/mmm, No. 123
Crystal system: tetragonal
V in Å³ per cell: 61
Total magnetization in Bohr magnetons per cell: 1.88

Cell and atoms, written as Quantum ESPRESSO input:
```
&SYSTEM
  ibrav = 0, nat = 4, ntyp = 3
/
ATOMIC_SPECIES
Ag 107.87 Ag.upf
Ru 101.07 Ru.upf
Br 79.90 Br.upf
ATOMIC_POSITIONS angstrom
Ag 2.250 2.250 1.503
Ru 2.250 0.000 0.000
Ru 0.000 2.250 0.000
Br 0.000 0.000 1.503
CELL_PARAMETERS angstrom
4.500 0.000 0.000
0.000 4.500 0.000
0.000 0.000 3.007
```

=====

(two)
DFT (SCAN) results for AgRu2Br at its PBEsol-relaxed geometry. Values from VASP.

ρ in g/cm³: 10.65
Space-group type: Cmmm, No. 65
Crystal system: orthorhombic
V in Å³ per cell: 61
Total magnetization in Bohr magnetons per cell: 0.00

Cell and atoms, written as Quantum ESPRESSO input:
```
&SYSTEM
  ibrav = 0, nat = 4, ntyp = 3
/
ATOMIC_SPECIES
Ru 101.07 Ru.upf
Br 79.90 Br.upf
Ag 107.87 Ag.upf
ATOMIC_POSITIONS angstrom
Ru 0.000 -0.396 2.259
Ru 0.000 2.293 0.016
Br 1.465 1.897 2.275
Ag 1.465 0.000 0.000
CELL_PARAMETERS angstrom
2.930 0.000 0.000
0.000 4.587 0.032
0.000 -0.793 4.518
```

=====

Short version: (two) is the least stable of them.

=====

(one)
DFT (SCAN) results for CaYHg at its PBEsol-relaxed geometry. Values from VASP.

ρ in g/cm³: 6.47
Space-group type: P3m1, No. 156
Crystal system: trigonal
V in Å³ per cell: 85
Total magnetization in Bohr magnetons per cell: 0.00

Cell and atoms, written as Quantum ESPRESSO input:
```
&SYSTEM
  ibrav = 0, nat = 3, ntyp = 3
/
ATOMIC_SPECIES
Hg 200.59 Hg.upf
Ca 40.08 Ca.upf
Y 88.91 Y.upf
ATOMIC_POSITIONS angstrom
Hg 0.793 2.561 2.681
Ca -1.870 2.906 0.997
Y -1.052 0.175 3.149
CELL_PARAMETERS angstrom
-1.965 3.053 1.047
-2.522 -2.795 3.417
4.323 2.331 1.314
```

=====

(two)
DFT (SCAN) results for CaYHg at its PBEsol-relaxed geometry. Values from VASP.

ρ in g/cm³: 6.30
Space-group type: I4mm, No. 107
Crystal system: tetragonal
V in Å³ per cell: 87
Total magnetization in Bohr magnetons per cell: 0.01

Cell and atoms, written as Quantum ESPRESSO input:
```
&SYSTEM
  ibrav = 0, nat = 3, ntyp = 3
/
ATOMIC_SPECIES
Y 88.91 Y.upf
Ca 40.08 Ca.upf
Hg 200.59 Hg.upf
ATOMIC_POSITIONS angstrom
Y 0.000 0.000 3.908
Ca 0.000 0.000 0.295
Hg 1.835 1.835 2.243
CELL_PARAMETERS angstrom
3.671 0.000 0.000
0.000 3.671 0.000
-1.835 -1.835 6.446
```

=====

Short version: (one) is the least stable of them.